MnNiRh2: relaxed, PBE-GGA.

a b c (Å): 8.5530 8.5530 8.5530
angles (deg): 17.93 17.93 17.93
Last column: magnetic moment on the atom in μB.
Positions (direct):
Rh 0.9985 0.9985 0.9985  -0.36
Mn 0.2500 0.2500 0.2500  1.74
Ni 0.7500 0.7500 0.7500  -0.69
Rh 0.5015 0.5015 0.5015  -0.36

Calculated formation energy, eV/f.u.: 0.1

Mn3NiRh: relaxed, PBE-GGA.

a b c (Å): 4.7188 4.7188 4.7188
angles (deg): 90.00 90.00 90.00
Last column: magnetic moment on the atom in μB.
Positions (direct):
Ni 0.5000 0.5000 0.5000  0.60
Mn 0.5000 0.0000 0.0000  4.06
Mn 0.0000 0.0000 0.5000  3.97
Mn 0.0000 0.5000 0.0000  4.01
Rh 0.0000 0.0000 0.0000  0.56

Offset from the most stable computed form, eV/atom: 0.000
Calculated formation energy, eV/f.u.: 6.0

MnNi2Rh: relaxed, PBE-GGA.

a b c (Å): 4.4448 4.4448 2.6652
angles (deg): 90.00 90.00 109.11
Last column: magnetic moment on the atom in μB.
Positions (direct):
Mn 0.0000 0.5000 0.5000  3.36
Ni 0.5000 0.5000 0.0000  0.56
Rh 0.5000 0.0000 0.5000  0.40
Ni 0.0000 0.0000 0.0000  0.56

Calculated formation energy, eV/f.u.: -0.1

MnNiRuRh: relaxed, PBE-GGA.

a b c (Å): 4.1963 4.1963 4.1963
angles (deg): 60.00 60.00 60.00
Last column: magnetic moment on the atom in μB.
Positions (direct):
Ni 0.7500 0.7500 0.7500  -0.40
Ru 0.0000 0.0000 0.0000  -0.50
Mn 0.2500 0.2500 0.2500  2.96
Rh 0.5000 0.5000 0.5000  0.01

Calculated formation energy, eV/f.u.: 0.3

MnNiRh2S8: relaxed, PBE-GGA.

a b c (Å): 5.6171 4.5872 7.1672
angles (deg): 90.00 90.00 90.42
Last column: magnetic moment on the atom in μB.
Positions (direct):
S 0.8911 0.2972 0.7389  0.04
S 0.1089 0.7028 0.7389  0.04
S 0.6301 0.8138 0.5000  -0.01
Ni 0.0000 0.0000 0.0000  0.64
S 0.3699 0.1862 0.5000  -0.01
Mn 0.0000 0.0000 0.5000  0.18
S 0.3792 0.1891 0.0000  0.02
S 0.8911 0.2972 0.2611  0.04
S 0.6208 0.8109 0.0000  0.02
S 0.1089 0.7028 0.2611  0.04
Rh 0.5000 0.5000 0.2545  -0.01
Rh 0.5000 0.5000 0.7455  -0.01

Raw formation energy, eV per atom: -0.387

ScMnNiRh: relaxed, PBE-GGA.

a b c (Å): 4.3836 4.3836 4.3836
angles (deg): 60.00 60.00 60.00
Last column: magnetic moment on the atom in μB.
Positions (direct):
Rh 0.7500 0.7500 0.7500  0.37
Sc 0.5000 0.5000 0.5000  -0.07
Ni 0.2500 0.2500 0.2500  0.40
Mn 0.0000 0.0000 0.0000  3.70

Calculated formation energy, eV/f.u.: -1.7

MnNiSnRh: relaxed, PBE-GGA.

a b c (Å): 4.0535 4.0535 4.6032
angles (deg): 116.13 116.12 90.00
Last column: magnetic moment on the atom in μB.
Positions (direct):
Ni 0.2500 0.7500 0.5000  0.32
Sn 0.5000 0.5000 0.0000  -0.06
Mn 0.0000 0.0000 0.0000  3.57
Rh 0.7500 0.2501 0.5000  0.24

Calculated formation energy, eV/f.u.: -1.1

SrMnNi2Rh: relaxed, PBE-GGA.

a b c (Å): 4.7030 5.2982 4.7030
angles (deg): 90.00 90.00 90.00
Last column: magnetic moment on the atom in μB.
Positions (direct):
Ni 0.0000 0.0000 0.5000  1.18
Sr 0.0000 0.5000 0.0000  -0.03
Mn 0.5000 0.5000 0.5000  4.31
Ni 0.5000 0.0000 0.0000  0.64
Rh 0.0000 0.0000 0.0000  0.70

Calculated formation energy, eV/f.u.: 5.0

| no. | volume (Å³ per cell) | total magnetic moment (Bohr magnetons per cell) | total DFT energy (no corrections) (eV/atom) |
| --- | --- | --- | --- |
| 1 | 52 | 0.4 | -7.379 |
| 2 | 105 | 13.8 | -6.924 |
| 3 | 50 | 4.9 | -7.055 |
| 4 | 52 | 2.2 | -7.811 |
| 5 | 185 | 1.0 | -5.609 |
| 6 | 60 | 4.5 | -7.594 |
| 7 | 59 | 4.2 | -6.856 |
| 8 | 117 | 7.0 | -4.944 |